Entry 1:
Compound: Pu6SnPd5
Source: Alexandria via LeMat-Bulk
Functional: PBE
Structure: optimized geometry

Properties
As for the total energy: -10.045 eV per atom. As for the space group: Immm (71).

Cell lengths 9.079, 9.079, 9.079 Å; angles 145.17, 141.20, 53.11 degrees
Element x y z (fractional)
Pu1 0.073 0.327 0.746
Pu2 0.240 0.000 0.240
Pu3 0.419 0.673 0.746
Pu4 0.581 0.327 0.254
Pu5 0.760 0.000 0.760
Pu6 0.927 0.673 0.254
Sn1 0.500 0.500 0.000
Pd1 0.000 0.500 0.500
Pd2 0.166 0.166 0.000
Pd3 0.337 0.837 0.500
Pd4 0.663 0.163 0.500
Pd5 0.834 0.834 0.000


Entry 2:
Compound: PuSnPd4
Source: Alexandria via LeMat-Bulk
Functional: PBE
Structure: optimized geometry

Properties
As for the space group: F-43m (216). The relative energy among the computed polymorphs comes out at 0.00 eV/f.u.

Cell lengths 5.407, 5.407, 5.407 Å; angles 60.00, 60.00, 60.00 degrees
Element x y z (fractional)
Pu1 0.000 0.000 0.000
Sn1 0.750 0.750 0.750
Pd1 0.375 0.375 0.375
Pd2 0.375 0.375 0.875
Pd3 0.375 0.875 0.375
Pd4 0.875 0.375 0.375


Entry 3:
Compound: Pu2Sn2Pd5
Source: Alexandria via LeMat-Bulk
Functional: PBE
Structure: optimized geometry

Properties
As for the total energy: -7.392 eV per atom. As for the space group: Ima2 (46).

Cell lengths 8.535, 8.535, 8.535 Å; angles 77.61, 135.23, 120.31 degrees
Element x y z (fractional)
Pu1 0.017 0.125 0.142
Pu2 0.017 0.375 0.392
Pu3 0.983 0.625 0.608
Pu4 0.983 0.875 0.858
Sn1 0.415 0.415 0.000
Sn2 0.415 0.915 0.500
Sn3 0.587 0.348 0.739
Sn4 0.610 0.848 0.261
Pd1 0.056 0.423 0.931
Pd2 0.056 0.625 0.133
Pd3 0.139 0.052 0.587
Pd4 0.465 0.552 0.413
Pd5 0.492 0.125 0.069
Pd6 0.492 0.923 0.867
Pd7 0.524 0.259 0.369
Pd8 0.524 0.654 0.765
Pd9 0.889 0.154 0.631
Pd10 0.889 0.759 0.235


Entry 4:
Compound: PuSn3Pd3
Source: Alexandria via LeMat-Bulk
Functional: PBE
Structure: optimized geometry

Properties
As for the total energy: -6.053 eV per atom. As for the space group: Pm-3n (223).

Cell lengths 7.273, 7.273, 7.273 Å; angles 90.00, 90.00, 90.00 degrees
Element x y z (fractional)
Pu1 0.000 0.000 0.000
Pu2 0.500 0.500 0.500
Sn1 0.000 0.250 0.500
Sn2 0.000 0.750 0.500
Sn3 0.250 0.500 0.000
Sn4 0.500 0.000 0.250
Sn5 0.500 0.000 0.750
Sn6 0.750 0.500 0.000
Pd1 0.000 0.500 0.250
Pd2 0.000 0.500 0.750
Pd3 0.250 0.000 0.500
Pd4 0.500 0.250 0.000
Pd5 0.500 0.750 0.000
Pd6 0.750 0.000 0.500


Entry 5:
Compound: PuSn4Pd2
Source: Alexandria via LeMat-Bulk
Functional: PBE
Structure: optimized geometry

Properties
As for the total energy: -6.280 eV per atom. As for the space group: Pnma (62).

Cell lengths 18.959, 4.581, 7.287 Å; angles 90.00, 90.00, 90.00 degrees
Element x y z (fractional)
Pu1 0.142 0.250 0.004
Pu2 0.358 0.750 0.504
Pu3 0.642 0.250 0.496
Pu4 0.858 0.750 0.996
Sn1 0.034 0.750 0.866
Sn2 0.067 0.250 0.481
Sn3 0.182 0.750 0.298
Sn4 0.195 0.750 0.726
Sn5 0.305 0.250 0.226
Sn6 0.318 0.250 0.798
Sn7 0.433 0.750 0.981
Sn8 0.466 0.250 0.366
Sn9 0.534 0.750 0.634
Sn10 0.567 0.250 0.019
Sn11 0.682 0.750 0.202
Sn12 0.695 0.750 0.774
Sn13 0.805 0.250 0.274
Sn14 0.818 0.250 0.702
Sn15 0.933 0.750 0.519
Sn16 0.966 0.250 0.134
Pd1 0.034 0.750 0.249
Pd2 0.211 0.250 0.520
Pd3 0.289 0.750 0.020
Pd4 0.466 0.250 0.749
Pd5 0.534 0.750 0.251
Pd6 0.711 0.250 0.980
Pd7 0.789 0.750 0.480
Pd8 0.966 0.250 0.751


Entry 6:
Compound: PuSnPd3
Source: Alexandria via LeMat-Bulk
Functional: PBE
Structure: optimized geometry

Properties
As for the total energy: -7.265 eV per atom. As for the space group: Cmcm (63).

Cell lengths 7.289, 7.289, 5.199 Å; angles 90.00, 90.00, 134.28 degrees
Element x y z (fractional)
Pu1 0.064 0.936 0.750
Pu2 0.936 0.064 0.250
Sn1 0.316 0.684 0.250
Sn2 0.684 0.316 0.750
Pd1 0.100 0.400 0.750
Pd2 0.400 0.100 0.250
Pd3 0.500 0.500 0.000
Pd4 0.500 0.500 0.500
Pd5 0.600 0.900 0.750
Pd6 0.900 0.600 0.250


Entry 7:
Compound: PuSnPd3
Source: Alexandria via LeMat-Bulk
Functional: PBE
Structure: optimized geometry

Properties
As for the total energy: -7.267 eV per atom. As for the space group: P2_1/m (11).

Cell lengths 5.395, 4.722, 7.677 Å; angles 90.00, 102.46, 90.00 degrees
Element x y z (fractional)
Pu1 0.052 0.250 0.384
Pu2 0.948 0.750 0.616
Sn1 0.238 0.750 0.056
Sn2 0.762 0.250 0.944
Pd1 0.213 0.250 0.829
Pd2 0.410 0.750 0.408
Pd3 0.496 0.250 0.215
Pd4 0.504 0.750 0.785
Pd5 0.590 0.250 0.592
Pd6 0.787 0.750 0.171


Entry 8:
Compound: Pu3Sn2Pd4
Source: Alexandria via LeMat-Bulk
Functional: PBE
Structure: optimized geometry

Properties
As for the total energy: -8.285 eV per atom. As for the space group: C2/m (12).

Cell lengths 4.992, 4.992, 10.254 Å; angles 97.17, 97.17, 44.58 degrees
Element x y z (fractional)
Pu1 0.000 0.000 0.000
Pu2 0.322 0.322 0.901
Pu3 0.678 0.678 0.099
Sn1 0.154 0.154 0.596
Sn2 0.846 0.846 0.404
Pd1 0.127 0.127 0.325
Pd2 0.403 0.403 0.219
Pd3 0.597 0.597 0.781
Pd4 0.873 0.873 0.675